[1]
A plane-wave DFT calculation with GGA-PBE was carried out for a relaxed CdGe2MoBr crystal.

Unit cell a=4.887 b=4.887 c=5.618 alpha=90.00 beta=90.00 gamma=90.00
Fractional positions:
1 Cd 0.000 0.000 0.000
2 Ge 0.000 0.500 0.500
3 Ge 0.500 0.000 0.500
4 Mo 0.000 0.000 0.500
5 Br 0.500 0.500 0.000

***

[2]
A plane-wave DFT calculation with GGA-PBE was carried out for a relaxed CdNiGe2Br crystal.

Unit cell a=5.373 b=5.373 c=4.306 alpha=90.00 beta=90.00 gamma=90.00
Fractional positions:
1 Cd 0.000 0.000 0.000
2 Ni 0.500 0.500 0.000
3 Ge 0.000 0.500 0.500
4 Ge 0.500 0.000 0.500
5 Br 0.500 0.500 0.500

***

[3]
A plane-wave DFT calculation with GGA-PBE was carried out for a relaxed CdGePbBr2 crystal.

Unit cell a=5.390 b=5.390 c=5.927 alpha=90.00 beta=90.00 gamma=90.00
Fractional positions:
1 Cd 0.000 0.000 0.000
2 Ge 0.500 0.500 0.500
3 Pb 0.500 0.500 0.000
4 Br 0.000 0.500 0.500
5 Br 0.500 0.000 0.500

***

| no. | magnetic moment (μB/cell) | E_tot (eV per formula unit) |
| --- | --- | --- |
| 1 | 1.2 | -20.45 |
| 2 | 0.0 | -13.41 |
| 3 | 0.0 | -12.76 |